## ZnNiSN2 (PBE-GGA)

Data for a geometry-optimized ZnNiSN2 structure.

```
ZnNiSN2
1.0
3.470 0.000 0.000
0.000 3.470 0.000
0.000 0.000 7.661
Zn Ni S N
1 1 1 2
Cartesian
0.000 0.000 0.000 Zn
1.735 1.735 3.830 Ni
1.735 1.735 0.000 S
0.000 1.735 3.830 N
1.735 0.000 3.830 N
```

Output
**Spin magnetization**: 0.23 μB per cell
**ΔE_f (raw)**: 0.9896 eV/atom

---

## Mg14ZnCo (PBE-GGA)

Data for a geometry-optimized Mg14ZnCo structure.

```
Mg14ZnCo
1.0
6.193 0.000 0.000
-3.096 5.363 0.000
0.000 0.000 10.031
Mg Zn Co
14 1 1
Cartesian
0.000 0.000 2.489 Mg
0.000 0.000 7.542 Mg
-1.490 2.715 2.608 Mg
-1.490 2.715 7.423 Mg
1.534 0.886 5.015 Mg
1.557 0.899 0.000 Mg
1.490 2.715 2.608 Mg
1.490 2.715 7.423 Mg
0.000 5.296 2.608 Mg
0.000 5.296 7.423 Mg
4.636 0.899 0.000 Mg
3.096 3.565 0.000 Mg
4.659 0.886 5.015 Mg
3.096 3.592 5.015 Mg
0.000 3.575 0.000 Zn
0.000 3.575 5.015 Co
```

Output
**Energy**: -1.872 eV per atom
**Spin magnetization**: 0.87 μB per cell

---

## BaZrP2 (PBE-GGA)

Data for a geometry-optimized BaZrP2 structure.

```
BaZrP2
1.0
-3.685 3.685 4.523
3.685 -3.685 4.523
3.685 3.685 -4.523
Ba Zr P
2 2 4
Cartesian
0.000 0.000 0.000 Ba
0.000 3.685 2.261 Ba
3.685 0.000 2.261 Zr
0.000 0.000 4.523 Zr
1.842 2.377 -1.131 P
4.992 1.842 1.131 P
1.842 1.308 3.392 P
-1.308 1.842 5.653 P
```

Output
**Energy**: -6.229 eV per atom
**Spin magnetization**: 0.00 μB per cell

---

## NbAs3S (PBE-GGA)

Data for a geometry-optimized NbAs3S structure.

```
NbAs3S
1.0
4.974 0.000 0.000
0.000 4.974 0.000
0.000 0.000 4.974
Nb As S
1 3 1
Cartesian
0.000 0.000 0.000 Nb
0.000 0.000 2.487 As
0.000 2.487 0.000 As
2.487 0.000 0.000 As
2.487 2.487 2.487 S
```

Output
**Spin magnetization**: 0.17 μB per cell
**ΔE_f (raw)**: 0.5429 eV/atom

---

Which of these has the highest spin magnetization? Mg14ZnCo